The following is a DFT calculation (PBE-GGA) of an optimized crystal structure of Tm3BiTe2.

Total moment (μB/f.u.): 0.0
Crystal system: orthorhombic
Raw total energy (eV/atom): -4.9880
Uncorrected formation energy (kJ/mol of atoms): -102

```
data_Tm3BiTe2
_chemical_formula_sum 'Tm6 Bi2 Te4'
_space_group_name_H-M_alt 'P 1'
_space_group_IT_number 1
_space_group_name_Hall 'P 1'
_cell_length_a 4.351
_cell_length_b 6.142
_cell_length_c 13.027
_cell_angle_alpha 90.00
_cell_angle_beta 90.00
_cell_angle_gamma 90.00
loop_
_atom_site_label
_atom_site_fract_x
_atom_site_fract_y
_atom_site_fract_z
Tm1 0.000 0.000 0.000
Tm2 0.000 0.000 0.333
Tm3 0.000 0.000 0.667
Tm4 0.500 0.500 0.167
Tm5 0.500 0.500 0.500
Tm6 0.500 0.500 0.833
Bi1 0.000 0.500 0.000
Bi2 0.500 0.000 0.500
Te1 0.000 0.500 0.334
Te2 0.000 0.500 0.666
Te3 0.500 0.000 0.166
Te4 0.500 0.000 0.834
```